Record 1
The following is a GGA+U calculation of an optimized crystal structure of RbBeCr2F8, from the Alexandria database.

Geometry as extended XYZ:
```
12
Lattice="4.824 0.359 -0.074 0.412 4.806 -0.068 -0.077 -0.063 7.656" Properties=species:S:1:pos:R:3 pbc="T T T"
Cr 2.637 2.600 1.358
Rb -0.039 -0.032 3.828
F 3.573 3.541 7.493
Cr 2.522 2.501 6.156
F 1.229 3.978 1.167
F 1.153 3.918 6.354
Be 0.000 0.000 0.000
F 3.377 3.328 2.942
F 4.006 1.183 1.160
F 3.930 1.123 6.347
F 1.586 1.560 0.021
F 1.782 1.773 4.572
```

Values from the calculation:
Density of states at the Fermi level = 0.184 states/eV/atom
DFT total energy = -5.52 eV/atom

=====

Record 2
The following is a GGA+U calculation of an optimized crystal structure of BeCr2RhF, from the Alexandria database.

Geometry as extended XYZ:
```
5
Lattice="4.980 0.000 0.000 0.000 4.064 0.000 0.000 0.000 4.980" Properties=species:S:1:pos:R:3 pbc="T T T"
Rh 0.000 0.000 0.000
Cr 2.490 0.000 0.000
Be 0.000 2.032 0.000
Cr 0.000 0.000 2.490
F 2.490 2.032 2.490
```

Values from the calculation:
Density of states at the Fermi level = 0.570 states/eV/atom
DFT total energy = -5.16 eV/atom

=====

Record 3
The following is a GGA+U calculation of an optimized crystal structure of Be2CrRuF, from the Alexandria database.

Geometry as extended XYZ:
```
5
Lattice="3.881 0.000 0.000 0.000 3.854 0.000 0.000 0.000 3.881" Properties=species:S:1:pos:R:3 pbc="T T T"
F 0.000 0.000 0.000
Be 0.000 0.000 1.941
Ru 1.941 1.927 1.941
Cr 0.000 1.927 0.000
Be 1.941 0.000 0.000
```

Values from the calculation:
Density of states at the Fermi level = 0.449 states/eV/atom
DFT total energy = -5.22 eV/atom

=====

- The highest DFT total energy belongs to which entry?
  BeCr2RhF